# 1
The following is a PBE calculation of a relaxed structure of Lu2CuTe2S2O14, from Alexandria via LeMat-Bulk.

Calculated values
- magnetization (μB/f.u.) = 0.98
- raw formation energy (eV/atom) = -1.833
- E (eV/atom) = -6.46

```
data_Lu2CuTe2S2O14
_symmetry_space_group_name_H-M 'P 1'
_symmetry_Int_Tables_number 1
_cell_length_a 5.365
_cell_length_b 8.211
_cell_length_c 8.252
_cell_angle_alpha 115.75
_cell_angle_beta 104.91
_cell_angle_gamma 97.68
loop_
_symmetry_equiv_pos_as_xyz
'x,y,z'
loop_
_atom_site_label
_atom_site_type_symbol
_atom_site_fract_x
_atom_site_fract_y
_atom_site_fract_z
O1 O 0.307 0.523 0.591
O2 O 0.391 0.180 0.326
O3 O 0.693 0.477 0.409
O4 O 0.472 0.231 0.073
O5 O 0.528 0.769 0.927
O6 O 0.115 0.432 0.854
O7 O 0.885 0.568 0.146
O8 O 0.447 0.697 0.229
O9 O 0.827 0.190 0.293
O10 O 0.553 0.303 0.771
O11 O 0.173 0.810 0.707
O12 O 0.878 0.079 0.613
O13 O 0.609 0.820 0.674
O14 O 0.122 0.921 0.387
Te1 Te 0.130 0.761 0.139
Te2 Te 0.870 0.239 0.861
S1 S 0.406 0.729 0.728
S2 S 0.594 0.271 0.272
Lu1 Lu 0.174 0.232 0.533
Lu2 Lu 0.826 0.768 0.467
Cu1 Cu 0.500 0.500 0.000
```


# 2
The following is a PBE calculation of a relaxed structure of Lu2Ti12Cu9O36, from Alexandria via LeMat-Bulk.

Calculated values
- magnetization (μB/f.u.) = 8.93
- raw formation energy (eV/atom) = -2.280
- E (eV/atom) = -7.69

```
data_Lu2Ti12Cu9O36
_symmetry_space_group_name_H-M 'P 1'
_symmetry_Int_Tables_number 1
_cell_length_a 6.442
_cell_length_b 10.499
_cell_length_c 10.499
_cell_angle_alpha 120.00
_cell_angle_beta 90.00
_cell_angle_gamma 90.00
loop_
_symmetry_equiv_pos_as_xyz
'x,y,z'
loop_
_atom_site_label
_atom_site_type_symbol
_atom_site_fract_x
_atom_site_fract_y
_atom_site_fract_z
Ti1 Ti 0.338 0.838 0.681
Ti2 Ti 0.662 0.162 0.319
Ti3 Ti 0.000 0.500 0.500
Ti4 Ti 0.000 0.500 0.000
Ti5 Ti 0.338 0.842 0.162
Ti6 Ti 0.662 0.158 0.838
Ti7 Ti 0.338 0.319 0.158
Ti8 Ti 0.000 0.000 0.000
Ti9 Ti 0.000 0.000 0.500
Ti10 Ti 0.655 0.667 0.333
Ti11 Ti 0.345 0.333 0.667
Ti12 Ti 0.662 0.681 0.842
Cu1 Cu 0.160 0.169 0.338
Cu2 Cu 0.840 0.338 0.169
Cu3 Cu 0.160 0.662 0.831
Cu4 Cu 0.160 0.169 0.831
Cu5 Cu 0.500 0.500 0.500
Cu6 Cu 0.840 0.831 0.662
Cu7 Cu 0.840 0.831 0.169
Cu8 Cu 0.500 0.000 0.500
Cu9 Cu 0.500 0.500 0.000
O1 O 0.482 0.510 0.317
O2 O 0.143 0.351 0.528
O3 O 0.250 0.923 0.375
O4 O 0.169 0.165 0.016
O5 O 0.143 0.472 0.822
O6 O 0.089 0.414 0.293
O7 O 0.089 0.879 0.586
O8 O 0.250 0.451 0.077
O9 O 0.482 0.683 0.193
O10 O 0.169 0.851 0.835
O11 O 0.590 0.955 0.226
O12 O 0.410 0.730 0.955
O13 O 0.911 0.586 0.707
O14 O 0.169 0.984 0.149
O15 O 0.250 0.625 0.549
O16 O 0.590 0.774 0.730
O17 O 0.911 0.293 0.879
O18 O 0.857 0.649 0.472
O19 O 0.518 0.193 0.510
O20 O 0.750 0.375 0.451
O21 O 0.518 0.490 0.683
O22 O 0.482 0.807 0.490
O23 O 0.410 0.226 0.270
O24 O 0.831 0.149 0.165
O25 O 0.518 0.317 0.807
O26 O 0.831 0.016 0.851
O27 O 0.590 0.270 0.045
O28 O 0.410 0.045 0.774
O29 O 0.911 0.121 0.414
O30 O 0.143 0.178 0.649
O31 O 0.857 0.822 0.351
O32 O 0.831 0.835 0.984
O33 O 0.857 0.528 0.178
O34 O 0.089 0.707 0.121
O35 O 0.750 0.549 0.923
O36 O 0.750 0.077 0.625
Lu1 Lu 0.162 0.667 0.333
Lu2 Lu 0.838 0.333 0.667
```


- The highest raw formation energy belongs to which entry?
  Lu2CuTe2S2O14